Record 1
Material: Ta4WAu
Method: DFT, PBE-GGA
State: relaxed

a b c (Å): 5.383 5.383 5.383
angles (deg): 60.00 60.00 60.00
Sites, in units of the cell vectors:
Ta (0.869, 0.377, 0.377)
Ta (0.377, 0.377, 0.869)
Ta (0.377, 0.869, 0.377)
Ta (0.377, 0.377, 0.377)
W (0.750, 0.750, 0.750)
Au (0.000, 0.000, 0.000)

Calculated values
The space group is F-43m. The total energy is -10.1751 eV/atom. The value obtained for the formation energy is 0.43 eV/atom.

=====

Record 2
Material: TaWAu
Method: DFT, PBE-GGA
State: relaxed

a b c (Å): 3.198 2.804 14.066
angles (deg): 90.00 90.00 124.76
Sites, in units of the cell vectors:
Ta (0.644, 0.288, 0.000)
Ta (0.162, 0.324, 0.500)
W (0.661, 0.321, 0.337)
W (0.661, 0.321, 0.663)
Au (0.269, 0.539, 0.831)
Au (0.269, 0.539, 0.169)

Calculated values
The space group is Amm2. The total energy is -9.2256 eV/atom. As for the excess energy over the best structure of this formula in the dataset: 159 meV/atom. The value obtained for the formation energy is 0.14 eV/atom.

=====

Record 3
Material: TaWAu
Method: DFT, PBE-GGA
State: relaxed

a b c (Å): 2.852 2.852 7.405
angles (deg): 90.00 90.00 120.00
Sites, in units of the cell vectors:
Au (0.000, 0.000, 0.998)
Ta (0.667, 0.333, 0.331)
W (0.333, 0.667, 0.671)

Calculated values
The space group is P3m1. The total energy is -9.0895 eV/atom. As for the excess energy over the best structure of this formula in the dataset: 296 meV/atom. The value obtained for the formation energy is 0.27 eV/atom.

=====

Record 4
Material: Ta3WAu
Method: DFT, PBE-GGA
State: relaxed

a b c (Å): 4.849 4.849 4.849
angles (deg): 90.00 90.00 90.00
Sites, in units of the cell vectors:
Au (0.500, 0.500, 0.500)
W (0.000, 0.000, 0.000)
Ta (0.000, 0.500, 0.000)
Ta (0.000, 0.000, 0.500)
Ta (0.500, 0.000, 0.000)

Calculated values
The space group is Pm-3m. The total energy is -8.8458 eV/atom. As for the excess energy over the best structure of this formula in the dataset: 0 meV/atom. The value obtained for the formation energy is 1.51 eV/atom.

=====

Record 5
Material: TaW3Au
Method: DFT, PBE-GGA
State: relaxed

a b c (Å): 4.759 4.759 4.759
angles (deg): 90.00 90.00 90.00
Sites, in units of the cell vectors:
Au (0.500, 0.500, 0.500)
W (0.000, 0.500, 0.000)
W (0.000, 0.000, 0.500)
W (0.500, 0.000, 0.000)
Ta (0.000, 0.000, 0.000)

Calculated values
The space group is Pm-3m. The total energy is -8.5366 eV/atom. As for the excess energy over the best structure of this formula in the dataset: 0 meV/atom. The value obtained for the formation energy is 2.26 eV/atom.

=====

Record 6
Material: TaWAu
Method: DFT, PBE-GGA
State: relaxed

a b c (Å): 6.895 6.895 6.895
angles (deg): 156.61 156.61 33.31
Sites, in units of the cell vectors:
Au (0.001, 0.001, 0.000)
Ta (0.334, 0.334, 0.000)
W (0.665, 0.665, 0.000)

Calculated values
The space group is I4mm. The total energy is -9.2039 eV/atom. As for the excess energy over the best structure of this formula in the dataset: 181 meV/atom. The value obtained for the formation energy is 0.16 eV/atom.

=====

Record 7
Material: Ta3WAu
Method: DFT, PBE-GGA
State: relaxed

a b c (Å): 4.855 4.855 4.855
angles (deg): 90.00 90.00 90.00
Sites, in units of the cell vectors:
Au (0.000, 0.000, 0.000)
W (0.500, 0.500, 0.500)
Ta (0.000, 0.500, 0.000)
Ta (0.000, 0.000, 0.500)
Ta (0.500, 0.000, 0.000)

Calculated values
The space group is Pm-3m. The total energy is -8.2297 eV/atom. As for the excess energy over the best structure of this formula in the dataset: 616 meV/atom. The value obtained for the formation energy is 2.13 eV/atom.

=====

Record 8
Material: TaWAu
Method: DFT, PBE-GGA
State: relaxed

a b c (Å): 3.320 3.320 9.383
angles (deg): 90.00 90.00 90.00
Sites, in units of the cell vectors:
Ta (0.250, 0.250, 0.751)
Ta (0.750, 0.750, 0.249)
W (0.250, 0.250, 0.082)
W (0.750, 0.750, 0.918)
Au (0.750, 0.750, 0.587)
Au (0.250, 0.250, 0.413)

Calculated values
The space group is P4/nmm. The total energy is -9.3851 eV/atom. As for the excess energy over the best structure of this formula in the dataset: 0 meV/atom. The value obtained for the formation energy is -0.02 eV/atom.

=====

Record 9
Material: TaWAu
Method: DFT, PBE-GGA
State: relaxed

a b c (Å): 5.167 5.167 5.167
angles (deg): 141.70 141.70 55.29
Sites, in units of the cell vectors:
Au (0.001, 0.001, 0.000)
Ta (0.323, 0.323, 0.000)
W (0.676, 0.676, 0.000)

Calculated values
The space group is I4mm. The total energy is -9.0864 eV/atom. As for the excess energy over the best structure of this formula in the dataset: 299 meV/atom. The value obtained for the formation energy is 0.27 eV/atom.

=====

Record 10
Material: Ta2W2Au
Method: DFT, PBE-GGA
State: relaxed

a b c (Å): 6.504 6.504 6.504
angles (deg): 142.65 142.65 53.85
Sites, in units of the cell vectors:
Ta (0.250, 0.750, 0.500)
Ta (0.750, 0.250, 0.500)
W (0.607, 0.607, 0.000)
W (0.393, 0.393, 0.000)
Au (0.000, 0.000, 0.000)

Calculated values
The space group is I4/mmm. The total energy is -9.5328 eV/atom. The value obtained for the formation energy is 1.04 eV/atom.

=====

Record 11
Material: TaWAu
Method: DFT, PBE-GGA
State: relaxed

a b c (Å): 7.214 7.074 2.789
angles (deg): 81.57 75.95 22.48
Sites, in units of the cell vectors:
Au (0.000, 0.000, 0.000)
Ta (0.331, 0.331, 0.669)
W (0.668, 0.668, 0.332)

Calculated values
The space group is Fmm2. The total energy is -9.2640 eV/atom. As for the excess energy over the best structure of this formula in the dataset: 121 meV/atom. The value obtained for the formation energy is 0.10 eV/atom.

=====

Record 12
Material: TaWAu4
Method: DFT, PBE-GGA
State: relaxed

a b c (Å): 5.353 5.353 5.353
angles (deg): 60.00 60.00 60.00
Sites, in units of the cell vectors:
Ta (0.250, 0.250, 0.250)
W (0.000, 0.000, 0.000)
Au (0.625, 0.625, 0.125)
Au (0.625, 0.125, 0.625)
Au (0.625, 0.625, 0.625)
Au (0.125, 0.625, 0.625)

Calculated values
The space group is F-43m. The total energy is -5.6368 eV/atom. The value obtained for the formation energy is 0.68 eV/atom.